[1]
Here is Zn6Pd5Pt after structural relaxation from Alexandria via LeMat-Bulk. Energies are from PBE-GGA.

Calculated values
Crystal system   monoclinic
E   -0.2834 Ry/atom

Cell lengths 4.4442, 7.6105, 7.6105 Å; angles 122.24, 106.94, 106.94 degrees
With the nearest neighbours (Å) after each atom.
Atoms (fractional coordinates):
1 Zn 0.2499 0.0836 0.4160  7 Pd 2.65-2.66, 1 Pt 2.66, 2 Zn 2.93
2 Zn 0.7501 0.5840 0.9164  7 Pd 2.65-2.66, 1 Pt 2.66, 2 Zn 2.93
3 Zn 0.7491 0.2493 0.2493  2 Pt 2.66, 6 Pd 2.66-2.68, 2 Zn 2.92-2.94
4 Zn 0.2509 0.7507 0.7507  2 Pt 2.66, 6 Pd 2.66-2.68, 2 Zn 2.92-2.94
5 Zn 0.2499 0.4160 0.0836  7 Pd 2.65-2.66, 1 Pt 2.66, 2 Zn 2.93
6 Zn 0.7501 0.9164 0.5840  7 Pd 2.65-2.66, 1 Pt 2.66, 2 Zn 2.93
7 Pt 0.0000 0.0000 0.0000  8 Zn 2.66, 2 Pd 2.93
8 Pd 0.5000 0.1682 0.8318  8 Zn 2.65-2.68, 2 Pd 2.93
9 Pd 0.0000 0.3327 0.6673  8 Zn 2.66-2.67, 2 Pd 2.93
10 Pd 0.5000 0.5000 0.5000  8 Zn 2.66-2.67, 2 Pt 2.93
11 Pd 0.0000 0.6673 0.3327  8 Zn 2.66-2.67, 2 Pd 2.93
12 Pd 0.5000 0.8318 0.1682  8 Zn 2.65-2.68, 2 Pd 2.93



[2]
Here is Ti4In3W after structural relaxation from Alexandria via LeMat-Bulk. Energies are from PBE-GGA.

Calculated values
Crystal system   tetragonal
E   -0.4943 Ry/atom

Cell lengths 3.2213, 3.2213, 14.3237 Å; angles 90.00, 90.00, 90.00 degrees
With the nearest neighbours (Å) after each atom.
Atoms (fractional coordinates):
1 In 0.5000 0.5000 0.2333  8 Ti 2.96-2.97, 4 In 3.22
2 In 0.5000 0.5000 0.5000  8 Ti 2.99, 4 In 3.22
3 In 0.5000 0.5000 0.7667  8 Ti 2.96-2.97, 4 In 3.22
4 W 0.5000 0.5000 0.0000  8 Ti 2.69
5 Ti 0.0000 0.0000 0.8998  4 W 2.69, 1 Ti 2.87, 4 In 2.97
6 Ti 0.0000 0.0000 0.1002  4 W 2.69, 1 Ti 2.87, 4 In 2.97
7 Ti 0.0000 0.0000 0.3651  8 In 2.96-2.99, 4 Ti 3.22
8 Ti 0.0000 0.0000 0.6349  8 In 2.96-2.99, 4 Ti 3.22



Energy of formation, respectively: -0.552 -0.131 eV per atom.
Spin magnetization, respectively: 0.000 0.000 Bohr magnetons per cell.